No. 1
A PBEsol-optimized structure of BaCaI4. Source: Alexandria, functional SCAN.

Structure (CIF):
```
data_BaCaI4
_space_group_name_H-M_alt 'C 1 2/c 1'
_space_group_IT_number 15
_space_group_name_Hall '-C 2yc'
_cell_length_a 10.252
_cell_length_b 14.735
_cell_length_c 7.539
_cell_angle_alpha 90.00
_cell_angle_beta 123.48
_cell_angle_gamma 90.00
loop_
_atom_site_label
_atom_site_fract_x
_atom_site_fract_y
_atom_site_fract_z
Ba1 0.000 0.135 0.250
Ca1 0.000 0.499 0.250
I1 0.112 0.328 0.581
I2 0.207 0.062 0.780
```

For the relative energy among the computed polymorphs, the calculation gives 42.4 meV/atom. For the theoretical density, the calculation gives 4.79 g/cm³. As for the volume: 39.583 Å³/atom. The value obtained for the density of states at the Fermi level is 0.00 states/eV/f.u.

No. 2
A PBEsol-optimized structure of BaCa2I6. Source: Alexandria, functional SCAN.

Structure (CIF):
```
data_BaCa2I6
_space_group_name_H-M_alt 'P 1 c 1'
_space_group_IT_number 7
_space_group_name_Hall 'P -2yc'
_cell_length_a 7.673
_cell_length_b 8.626
_cell_length_c 13.778
_cell_angle_alpha 90.00
_cell_angle_beta 123.85
_cell_angle_gamma 90.00
loop_
_atom_site_label
_atom_site_fract_x
_atom_site_fract_y
_atom_site_fract_z
Ba1 0.000 0.134 0.000
Ca1 0.279 0.260 0.747
Ca2 0.785 0.260 0.253
I1 0.055 0.425 0.184
I2 0.186 0.223 0.500
I3 0.402 0.303 0.000
I4 0.514 0.061 0.311
I5 0.687 0.425 0.817
I6 0.892 0.061 0.689
```

For the relative energy among the computed polymorphs, the calculation gives 10.1 meV/atom. For the theoretical density, the calculation gives 4.29 g/cm³. As for the volume: 42.078 Å³/atom. The value obtained for the density of states at the Fermi level is 0.00 states/eV/f.u.

No. 3
A PBEsol-optimized structure of BaCaI4. Source: Alexandria, functional SCAN.

Structure (CIF):
```
data_BaCaI4
_space_group_name_H-M_alt 'P 1 2/m 1'
_space_group_IT_number 10
_space_group_name_Hall '-P 2y'
_cell_length_a 7.004
_cell_length_b 4.713
_cell_length_c 8.332
_cell_angle_alpha 90.00
_cell_angle_beta 90.76
_cell_angle_gamma 90.00
loop_
_atom_site_label
_atom_site_fract_x
_atom_site_fract_y
_atom_site_fract_z
Ba1 0.000 0.000 0.000
Ca1 0.000 0.500 0.500
I1 0.245 0.000 0.358
I2 0.261 0.500 0.806
```

For the relative energy among the computed polymorphs, the calculation gives 18.5 meV/atom. For the theoretical density, the calculation gives 4.14 g/cm³. As for the volume: 45.833 Å³/atom. The value obtained for the density of states at the Fermi level is 0.00 states/eV/f.u.

No. 4
A PBEsol-optimized structure of BaCa2I6. Source: Alexandria, functional SCAN.

Structure (CIF):
```
data_BaCa2I6
_space_group_name_H-M_alt 'P 42/m n m'
_space_group_IT_number 136
_space_group_name_Hall '-P 4n 2n'
_cell_length_a 7.548
_cell_length_b 7.548
_cell_length_c 14.353
_cell_angle_alpha 90.00
_cell_angle_beta 90.00
_cell_angle_gamma 90.00
loop_
_atom_site_label
_atom_site_fract_x
_atom_site_fract_y
_atom_site_fract_z
Ba1 0.000 0.000 0.000
Ca1 0.000 0.000 0.332
I1 0.184 0.184 0.500
I2 0.207 0.207 0.180
```

For the relative energy among the computed polymorphs, the calculation gives 25.4 meV/atom. For the theoretical density, the calculation gives 3.98 g/cm³. As for the volume: 45.429 Å³/atom. The value obtained for the density of states at the Fermi level is 0.00 states/eV/f.u.

No. 5
A PBEsol-optimized structure of BaCaI4. Source: Alexandria, functional SCAN.

Structure (CIF):
```
data_BaCaI4
_space_group_name_H-M_alt 'P 1 2/c 1'
_space_group_IT_number 13
_space_group_name_Hall '-P 2yc'
_cell_length_a 7.837
_cell_length_b 8.158
_cell_length_c 8.148
_cell_angle_alpha 90.00
_cell_angle_beta 101.66
_cell_angle_gamma 90.00
loop_
_atom_site_label
_atom_site_fract_x
_atom_site_fract_y
_atom_site_fract_z
Ba1 0.000 0.230 0.250
Ca1 0.500 0.337 0.750
I1 0.248 0.438 0.987
I2 0.254 0.063 0.600
```

For the relative energy among the computed polymorphs, the calculation gives 0.0 meV/atom. For the theoretical density, the calculation gives 4.46 g/cm³. As for the volume: 42.514 Å³/atom. The value obtained for the density of states at the Fermi level is 0.00 states/eV/f.u.

No. 6
A PBEsol-optimized structure of BaCa2I6. Source: Alexandria, functional SCAN.

Structure (CIF):
```
data_BaCa2I6
_space_group_name_H-M_alt 'C 1 2/c 1'
_space_group_IT_number 15
_space_group_name_Hall '-C 2yc'
_cell_length_a 23.904
_cell_length_b 7.652
_cell_length_c 8.182
_cell_angle_alpha 90.00
_cell_angle_beta 90.61
_cell_angle_gamma 90.00
loop_
_atom_site_label
_atom_site_fract_x
_atom_site_fract_y
_atom_site_fract_z
Ba1 0.000 0.224 0.250
Ca1 0.171 0.230 0.672
I1 0.067 0.422 0.590
I2 0.103 0.054 0.956
I3 0.224 0.483 0.403
```

For the relative energy among the computed polymorphs, the calculation gives 42.4 meV/atom. For the theoretical density, the calculation gives 4.34 g/cm³. As for the volume: 41.568 Å³/atom. The value obtained for the density of states at the Fermi level is 0.00 states/eV/f.u.

No. 7
A PBEsol-optimized structure of BaCaI4. Source: Alexandria, functional SCAN.

Structure (CIF):
```
data_BaCaI4
_space_group_name_H-M_alt 'P b c m'
_space_group_IT_number 57
_space_group_name_Hall '-P 2c 2b'
_cell_length_a 7.795
_cell_length_b 11.019
_cell_length_c 11.414
_cell_angle_alpha 90.00
_cell_angle_beta 90.00
_cell_angle_gamma 90.00
loop_
_atom_site_label
_atom_site_fract_x
_atom_site_fract_y
_atom_site_fract_z
Ba1 0.036 0.163 0.250
Ca1 0.500 0.000 0.000
I1 0.158 0.599 0.584
I2 0.308 0.250 0.000
I3 0.371 0.546 0.250
```

For the relative energy among the computed polymorphs, the calculation gives 29.4 meV/atom. For the theoretical density, the calculation gives 4.64 g/cm³. As for the volume: 40.847 Å³/atom. The value obtained for the density of states at the Fermi level is 0.00 states/eV/f.u.

No. 8
A PBEsol-optimized structure of BaCaI4. Source: Alexandria, functional SCAN.

Structure (CIF):
```
data_BaCaI4
_space_group_name_H-M_alt 'P b c n'
_space_group_IT_number 60
_space_group_name_Hall '-P 2n 2ab'
_cell_length_a 7.479
_cell_length_b 18.852
_cell_length_c 7.893
_cell_angle_alpha 90.00
_cell_angle_beta 90.00
_cell_angle_gamma 90.00
loop_
_atom_site_label
_atom_site_fract_x
_atom_site_fract_y
_atom_site_fract_z
Ba1 0.000 0.175 0.250
Ca1 0.000 0.435 0.250
I1 0.239 0.453 0.567
I2 0.244 0.316 0.110
```

For the relative energy among the computed polymorphs, the calculation gives 8.4 meV/atom. For the theoretical density, the calculation gives 4.09 g/cm³. As for the volume: 46.368 Å³/atom. The value obtained for the density of states at the Fermi level is 0.00 states/eV/f.u.

No. 9
A PBEsol-optimized structure of BaCa2I6. Source: Alexandria, functional SCAN.

Structure (CIF):
```
data_BaCa2I6
_space_group_name_H-M_alt 'P b c n'
_space_group_IT_number 60
_space_group_name_Hall '-P 2n 2ab'
_cell_length_a 7.231
_cell_length_b 26.999
_cell_length_c 8.062
_cell_angle_alpha 90.00
_cell_angle_beta 90.00
_cell_angle_gamma 90.00
loop_
_atom_site_label
_atom_site_fract_x
_atom_site_fract_y
_atom_site_fract_z
Ba1 0.000 0.118 0.250
Ca1 0.000 0.215 0.750
Ca2 0.000 0.452 0.250
I1 0.239 0.469 0.562
I2 0.244 0.291 0.562
I3 0.247 0.368 0.103
```

For the relative energy among the computed polymorphs, the calculation gives 20.3 meV/atom. For the theoretical density, the calculation gives 4.13 g/cm³. As for the volume: 43.723 Å³/atom. The value obtained for the density of states at the Fermi level is 0.00 states/eV/f.u.

No. 10
A PBEsol-optimized structure of BaCa2I6. Source: Alexandria, functional SCAN.

Structure (CIF):
```
data_BaCa2I6
_space_group_name_H-M_alt 'P -3 1 m'
_space_group_IT_number 162
_space_group_name_Hall '-P 3 2'
_cell_length_a 7.9270
_cell_length_b 7.9270
_cell_length_c 7.3075
_cell_angle_alpha 90.00
_cell_angle_beta 90.00
_cell_angle_gamma 120.00
loop_
_atom_site_label
_atom_site_fract_x
_atom_site_fract_y
_atom_site_fract_z
Ba1 0.0000 0.0000 0.0000
Ca1 0.3333 0.6667 0.5000
I1 0.0000 0.3623 0.7440
```

For the relative energy among the computed polymorphs, the calculation gives 0.0 meV/atom. For the theoretical density, the calculation gives 4.09 g/cm³. As for the volume: 44.185 Å³/atom. The value obtained for the density of states at the Fermi level is 0.00 states/eV/f.u.

No. 11
A PBEsol-optimized structure of BaCaI4. Source: Alexandria, functional SCAN.

Structure (CIF):
```
data_BaCaI4
_space_group_name_H-M_alt 'R -3 m'
_space_group_IT_number 166
_space_group_name_Hall '-R 3 2"'
_cell_length_a 5.6450
_cell_length_b 5.6450
_cell_length_c 27.0890
_cell_angle_alpha 90.00
_cell_angle_beta 90.00
_cell_angle_gamma 120.00
loop_
_atom_site_label
_atom_site_fract_x
_atom_site_fract_y
_atom_site_fract_z
Ba1 0.0000 0.0000 0.0000
Ca1 0.0000 0.0000 0.5000
I1 0.0000 0.0000 0.1311
I2 0.0000 0.0000 0.3808
```

For the relative energy among the computed polymorphs, the calculation gives 73.7 meV/atom. For the theoretical density, the calculation gives 4.56 g/cm³. As for the volume: 41.532 Å³/atom. The value obtained for the density of states at the Fermi level is 0.00 states/eV/f.u.

No. 12
A PBEsol-optimized structure of BaCaI4. Source: Alexandria, functional SCAN.

Structure (CIF):
```
data_BaCaI4
_space_group_name_H-M_alt 'A m m 2'
_space_group_IT_number 38
_space_group_name_Hall 'A 2 -2'
_cell_length_a 4.848
_cell_length_b 10.897
_cell_length_c 10.851
_cell_angle_alpha 90.00
_cell_angle_beta 90.00
_cell_angle_gamma 90.00
loop_
_atom_site_label
_atom_site_fract_x
_atom_site_fract_y
_atom_site_fract_z
Ba1 0.000 0.000 0.000
Ca1 0.500 0.000 0.500
I1 0.000 0.000 0.315
I2 0.000 0.000 0.684
I3 0.500 0.216 0.998
```

For the relative energy among the computed polymorphs, the calculation gives 36.0 meV/atom. For the theoretical density, the calculation gives 3.97 g/cm³. As for the volume: 47.771 Å³/atom. The value obtained for the density of states at the Fermi level is 0.00 states/eV/f.u.

No. 13
A PBEsol-optimized structure of BaCaI4. Source: Alexandria, functional SCAN.

Structure (CIF):
```
data_BaCaI4
_space_group_name_H-M_alt 'I 41/a'
_space_group_IT_number 88
_cell_length_a 7.956
_cell_length_b 7.956
_cell_length_c 16.283
_cell_angle_alpha 90.00
_cell_angle_beta 90.00
_cell_angle_gamma 90.00
loop_
_space_group_symop_operation_xyz
'x,y,z'
'-x,-y,-z'
'-y+3/4,x+1/4,z+1/4'
'y+3/4,-x+1/4,-z+1/4'
'-x+1/2,-y,z+1/2'
'x+1/2,y,-z+1/2'
'y+3/4,-x+3/4,z+3/4'
'-y+3/4,x+3/4,-z+3/4'
'x+1/2,y+1/2,z+1/2'
'-x+1/2,-y+1/2,-z+1/2'
'-y+1/4,x+3/4,z+3/4'
'y+1/4,-x+3/4,-z+3/4'
'-x,-y+1/2,z'
'x,y+1/2,-z'
'y+1/4,-x+1/4,z+1/4'
'-y+1/4,x+1/4,-z+1/4'
loop_
_atom_site_label
_atom_site_fract_x
_atom_site_fract_y
_atom_site_fract_z
Ba1 0.000 0.250 0.125
Ca1 0.000 0.250 0.625
I1 0.208 0.497 0.727
```

For the relative energy among the computed polymorphs, the calculation gives 46.4 meV/atom. For the theoretical density, the calculation gives 4.41 g/cm³. As for the volume: 42.945 Å³/atom. The value obtained for the density of states at the Fermi level is 0.00 states/eV/f.u.

No. 14
A PBEsol-optimized structure of BaCaI4. Source: Alexandria, functional SCAN.

Structure (CIF):
```
data_BaCaI4
_space_group_name_H-M_alt 'C m c 21'
_space_group_IT_number 36
_space_group_name_Hall 'C 2c -2'
_cell_length_a 6.033
_cell_length_b 21.760
_cell_length_c 7.945
_cell_angle_alpha 90.00
_cell_angle_beta 90.00
_cell_angle_gamma 90.00
loop_
_atom_site_label
_atom_site_fract_x
_atom_site_fract_y
_atom_site_fract_z
Ba1 0.000 0.171 0.000
Ca1 0.000 0.410 0.915
I1 0.000 0.102 0.400
I2 0.000 0.289 0.704
I3 0.000 0.323 0.221
I4 0.000 0.458 0.547
```

For the relative energy among the computed polymorphs, the calculation gives 51.2 meV/atom. For the theoretical density, the calculation gives 4.36 g/cm³. As for the volume: 43.459 Å³/atom. The value obtained for the density of states at the Fermi level is 0.00 states/eV/f.u.

No. 15
A PBEsol-optimized structure of BaCa2I6. Source: Alexandria, functional SCAN.

Structure (CIF):
```
data_BaCa2I6
_space_group_name_H-M_alt 'P 1 21/c 1'
_space_group_IT_number 14
_space_group_name_Hall '-P 2ybc'
_cell_length_a 6.206
_cell_length_b 7.877
_cell_length_c 15.673
_cell_angle_alpha 90.00
_cell_angle_beta 106.11
_cell_angle_gamma 90.00
loop_
_atom_site_label
_atom_site_fract_x
_atom_site_fract_y
_atom_site_fract_z
Ba1 0.000 0.000 0.000
Ca1 0.396 0.127 0.753
I1 0.113 0.030 0.236
I2 0.287 0.641 0.101
I3 0.474 0.658 0.399
```

For the relative energy among the computed polymorphs, the calculation gives 77.3 meV/atom. For the theoretical density, the calculation gives 4.42 g/cm³. As for the volume: 40.896 Å³/atom. The value obtained for the density of states at the Fermi level is 0.00 states/eV/f.u.

No. 16
A PBEsol-optimized structure of BaCaI4. Source: Alexandria, functional SCAN.

Structure (CIF):
```
data_BaCaI4
_space_group_name_H-M_alt 'P n n a'
_space_group_IT_number 52
_space_group_name_Hall '-P 2a 2bc'
_cell_length_a 9.900
_cell_length_b 10.178
_cell_length_c 10.362
_cell_angle_alpha 90.00
_cell_angle_beta 90.00
_cell_angle_gamma 90.00
loop_
_atom_site_label
_atom_site_fract_x
_atom_site_fract_y
_atom_site_fract_z
Ba1 0.166 0.250 0.250
Ca1 0.250 0.000 0.738
I1 0.048 0.554 0.226
I2 0.199 0.735 0.566
```

For the relative energy among the computed polymorphs, the calculation gives 48.2 meV/atom. For the theoretical density, the calculation gives 4.36 g/cm³. As for the volume: 43.501 Å³/atom. The value obtained for the density of states at the Fermi level is 0.00 states/eV/f.u.

No. 17
A PBEsol-optimized structure of BaCa2I6. Source: Alexandria, functional SCAN.

Structure (CIF):
```
data_BaCa2I6
_space_group_name_H-M_alt 'P 3 2 1'
_space_group_IT_number 150
_space_group_name_Hall 'P 3 2"'
_cell_length_a 13.8448
_cell_length_b 13.8448
_cell_length_c 7.0221
_cell_angle_alpha 90.00
_cell_angle_beta 90.00
_cell_angle_gamma 120.00
loop_
_atom_site_label
_atom_site_fract_x
_atom_site_fract_y
_atom_site_fract_z
Ba1 0.0000 0.0000 0.0000
Ba2 0.3333 0.6667 0.5046
Ca1 0.0000 0.3438 0.0000
Ca2 0.0000 0.6783 0.5000
I1 0.0956 0.5606 0.2442
I2 0.1047 0.2377 0.2613
I3 0.2084 0.7796 0.7655
```

For the relative energy among the computed polymorphs, the calculation gives 34.8 meV/atom. For the theoretical density, the calculation gives 4.18 g/cm³. As for the volume: 43.173 Å³/atom. The value obtained for the density of states at the Fermi level is 0.00 states/eV/f.u.